The following is a GGA-PBE calculation of a geometry-optimized LiMg15Cd4 structure, from Alexandria via LeMat-Bulk.

a b c (Å): 4.4791 4.4791 21.9478
angles (deg): 90.00 90.00 90.00
Last column: nearest neighbours and their distance in Å.
Element x y z (fractional)
Li 0.0000 0.0000 0.0000  12 Mg 3.13-3.17
Mg 0.0000 0.5000 0.0997  2 Cd 3.13, 2 Li 3.13, 8 Mg 3.13-3.17
Mg 0.0000 0.5000 0.3002  8 Mg 3.12-3.17, 4 Cd 3.13-3.15
Mg 0.0000 0.5000 0.5000  8 Mg 3.14-3.17, 4 Cd 3.14
Mg 0.0000 0.5000 0.6998  8 Mg 3.12-3.17, 4 Cd 3.13-3.15
Mg 0.0000 0.5000 0.9003  2 Cd 3.13, 2 Li 3.13, 8 Mg 3.13-3.17
Mg 0.5000 0.0000 0.0997  2 Cd 3.13, 2 Li 3.13, 8 Mg 3.13-3.17
Mg 0.5000 0.0000 0.3002  8 Mg 3.12-3.17, 4 Cd 3.13-3.15
Mg 0.5000 0.0000 0.5000  8 Mg 3.14-3.17, 4 Cd 3.14
Mg 0.5000 0.0000 0.6998  8 Mg 3.12-3.17, 4 Cd 3.13-3.15
Mg 0.5000 0.0000 0.9003  2 Cd 3.13, 2 Li 3.13, 8 Mg 3.13-3.17
Mg 0.5000 0.5000 0.0000  8 Mg 3.13, 4 Li 3.17
Mg 0.5000 0.5000 0.2010  8 Mg 3.12-3.16, 4 Cd 3.17
Mg 0.5000 0.5000 0.4000  8 Mg 3.13-3.14, 4 Cd 3.17
Mg 0.5000 0.5000 0.6000  8 Mg 3.13-3.14, 4 Cd 3.17
Mg 0.5000 0.5000 0.7990  8 Mg 3.12-3.16, 4 Cd 3.17
Cd 0.0000 0.0000 0.1995  12 Mg 3.13-3.17
Cd 0.0000 0.0000 0.3999  12 Mg 3.13-3.17
Cd 0.0000 0.0000 0.6001  12 Mg 3.13-3.17
Cd 0.0000 0.0000 0.8005  12 Mg 3.13-3.17

Properties
- Uncorrected energy: -1.537 eV per atom
- ΔE_f: -0.06 eV/atom
- Symmetry: No. 123

---

The following is a GGA-PBE calculation of a geometry-optimized Li3MgCd structure, from Alexandria via LeMat-Bulk.

a b c (Å): 9.3262 2.9707 7.5601
angles (deg): 90.00 90.00 90.00
Last column: nearest neighbours and their distance in Å.
Element x y z (fractional)
Li 0.0000 0.0000 0.0000  4 Li 2.82-2.97, 4 Cd 2.83, 2 Mg 3.15
Li 0.0947 0.0000 0.3544  5 Li 2.82-2.97, 2 Cd 2.94, 1 Mg 3.12
Li 0.4053 0.0000 0.3544  5 Li 2.82-2.97, 2 Cd 2.94, 1 Mg 3.12
Li 0.5000 0.0000 0.0000  4 Li 2.82-2.97, 4 Cd 2.83, 2 Mg 3.15
Li 0.5947 0.0000 0.6456  5 Li 2.82-2.97, 2 Cd 2.94, 1 Mg 3.12
Li 0.9053 0.0000 0.6456  5 Li 2.82-2.97, 2 Cd 2.94, 1 Mg 3.12
Mg 0.2500 0.0000 0.7204  2 Mg 2.97, 2 Cd 3.09, 6 Li 3.12-3.26
Mg 0.7500 0.0000 0.2796  2 Mg 2.97, 2 Cd 3.09, 6 Li 3.12-3.26
Cd 0.2500 0.5000 0.0795  8 Li 2.83-2.94, 2 Cd 2.97, 2 Mg 3.09
Cd 0.7500 0.5000 0.9205  8 Li 2.83-2.94, 2 Cd 2.97, 2 Mg 3.09

Properties
- Uncorrected energy: -1.687 eV per atom
- ΔE to the lowest computed polymorph: 0.0903 eV per atom
- ΔE_f: -0.04 eV/atom
- Symmetry: No. 51

---

The following is a GGA-PBE calculation of a geometry-optimized Li6MgCd structure, from Alexandria via LeMat-Bulk.

a b c (Å): 4.6910 5.8269 5.8269
angles (deg): 74.74 90.00 90.00
Last column: nearest neighbours and their distance in Å.
Element x y z (fractional)
Li 0.0000 0.0000 0.0000  8 Li 2.88-2.96
Li 0.0000 0.5000 0.9744  4 Li 2.88-2.96, 2 Cd 2.91-2.92, 2 Mg 2.99
Li 0.0000 0.9744 0.5000  4 Li 2.88-2.96, 2 Cd 2.91-2.92, 2 Mg 2.99
Li 0.5000 0.2266 0.7406  4 Li 2.80-3.03, 2 Mg 2.86-2.97, 2 Cd 2.97
Li 0.5000 0.7138 0.7138  8 Li 2.80-3.03
Li 0.5000 0.7406 0.2266  4 Li 2.80-3.03, 2 Mg 2.86-2.97, 2 Cd 2.97
Mg 0.5000 0.2445 0.2445  8 Li 2.86-2.99, 2 Cd 3.20
Cd 0.0000 0.4795 0.4795  10 Li 2.91-3.20, 2 Mg 3.20

Properties
- Uncorrected energy: -1.848 eV per atom
- ΔE_f: -0.10 eV/atom
- Symmetry: No. 38

---

The following is a GGA-PBE calculation of a geometry-optimized Li2Mg5Cd4 structure, from Alexandria via LeMat-Bulk.

a b c (Å): 10.5549 10.5549 10.5549
angles (deg): 162.35 136.42 47.37
Last column: nearest neighbours and their distance in Å.
Element x y z (fractional)
Li 0.0874 0.0874 0.0000  5 Cd 2.68-2.79
Li 0.9126 0.9126 0.0000  5 Cd 2.68-2.79
Mg 0.1471 0.3518 0.7953  4 Cd 2.91-3.20, 2 Li 3.06, 3 Mg 3.21-3.24
Mg 0.4436 0.6482 0.7953  4 Cd 2.91-3.20, 2 Li 3.06, 3 Mg 3.21-3.24
Mg 0.5000 0.0000 0.5000  4 Cd 2.90, 2 Mg 3.24
Mg 0.5564 0.3518 0.2047  4 Cd 2.91-3.20, 2 Li 3.06, 3 Mg 3.21-3.24
Mg 0.8529 0.6482 0.2047  4 Cd 2.91-3.20, 2 Li 3.06, 3 Mg 3.21-3.24
Cd 0.1937 0.5000 0.6937  4 Li 2.79, 4 Mg 2.90-2.97, 1 Cd 3.04
Cd 0.2259 0.2259 0.0000  1 Li 2.68, 2 Mg 2.91
Cd 0.7741 0.7741 0.0000  1 Li 2.68, 2 Mg 2.91
Cd 0.8063 0.5000 0.3063  4 Li 2.79, 4 Mg 2.90-2.97, 1 Cd 3.04

Properties
- Uncorrected energy: -1.443 eV per atom
- ΔE to the lowest computed polymorph: 0.0687 eV per atom
- ΔE_f: -0.04 eV/atom
- Symmetry: No. 71

---

The following is a GGA-PBE calculation of a geometry-optimized Li14MgCd structure, from Alexandria via LeMat-Bulk.

a b c (Å): 9.9984 5.9949 5.9949
angles (deg): 61.15 90.00 90.00
Last column: nearest neighbours and their distance in Å.
Element x y z (fractional)
Li 0.0000 0.0000 0.0000  12 Li 3.00-3.05
Li 0.0000 0.4991 0.4991  12 Li 2.99-3.10
Li 0.0000 0.5022 0.9962  12 Li 2.99-3.09
Li 0.0000 0.9962 0.5022  12 Li 2.99-3.09
Li 0.2462 0.1702 0.1702  11 Li 3.00-3.05, 1 Mg 3.15
Li 0.2505 0.1644 0.6730  10 Li 2.97-3.12, 1 Cd 2.99, 1 Mg 3.02
Li 0.2505 0.6730 0.1644  10 Li 2.97-3.12, 1 Cd 2.99, 1 Mg 3.02
Li 0.2551 0.6702 0.6702  11 Li 2.97-3.10, 1 Cd 3.07
Li 0.5000 0.3477 0.8524  8 Li 2.98-3.12, 2 Cd 2.99-3.01, 2 Mg 3.00
Li 0.5000 0.8524 0.3477  8 Li 2.98-3.12, 2 Cd 2.99-3.01, 2 Mg 3.00
Li 0.7449 0.6702 0.6702  11 Li 2.97-3.10, 1 Cd 3.07
Li 0.7495 0.1644 0.6730  10 Li 2.97-3.12, 1 Cd 2.99, 1 Mg 3.02
Li 0.7495 0.6730 0.1644  10 Li 2.97-3.12, 1 Cd 2.99, 1 Mg 3.02
Li 0.7538 0.1702 0.1702  11 Li 3.00-3.05, 1 Mg 3.15
Mg 0.5000 0.3512 0.3512  10 Li 3.00-3.15, 2 Cd 3.05
Cd 0.5000 0.8503 0.8503  10 Li 2.99-3.07, 2 Mg 3.05

Properties
- Uncorrected energy: -1.874 eV per atom
- ΔE_f: -0.04 eV/atom
- Symmetry: No. 38

---

The following is a GGA-PBE calculation of a geometry-optimized Li2MgCd8 structure, from Alexandria via LeMat-Bulk.

a b c (Å): 7.8357 7.8357 5.1844
angles (deg): 103.97 103.97 119.84
Last column: nearest neighbours and their distance in Å.
Element x y z (fractional)
Li 0.1941 0.8059 0.0000  8 Cd 2.86-2.97
Li 0.8059 0.1941 0.0000  8 Cd 2.86-2.97
Mg 0.5000 0.5000 0.5000  4 Cd 2.89-2.93
Cd 0.0881 0.0881 0.3032  4 Cd 2.76-2.98, 1 Mg 2.89, 2 Li 2.97
Cd 0.1680 0.4082 0.8496  2 Li 2.90-2.91, 5 Cd 2.92-3.23
Cd 0.2837 0.7163 0.5000  2 Li 2.86, 1 Mg 2.93, 2 Cd 3.06
Cd 0.4082 0.1680 0.8496  2 Li 2.90-2.91, 5 Cd 2.92-3.23
Cd 0.5918 0.8320 0.1504  2 Li 2.90-2.91, 5 Cd 2.92-3.23
Cd 0.7163 0.2837 0.5000  2 Li 2.86, 1 Mg 2.93, 2 Cd 3.06
Cd 0.8320 0.5918 0.1504  2 Li 2.90-2.91, 5 Cd 2.92-3.23
Cd 0.9119 0.9119 0.6968  4 Cd 2.76-2.98, 1 Mg 2.89, 2 Li 2.97

Properties
- Uncorrected energy: -1.213 eV per atom
- ΔE to the lowest computed polymorph: 0.0641 eV per atom
- ΔE_f: -0.05 eV/atom
- Symmetry: No. 12

---

The following is a GGA-PBE calculation of a geometry-optimized Li3Mg2Cd6 structure, from Alexandria via LeMat-Bulk.

a b c (Å): 5.2156 6.8962 6.9776
angles (deg): 107.23 105.75 98.54
Last column: nearest neighbours and their distance in Å.
Element x y z (fractional)
Li 0.0000 0.0000 0.0000  8 Cd 3.00-3.08, 2 Mg 3.05, 2 Li 3.17
Li 0.0956 0.8191 0.3752  8 Cd 2.95-3.09, 2 Li 3.06-3.17, 2 Mg 3.12-3.14
Li 0.9044 0.1809 0.6248  8 Cd 2.95-3.09, 2 Li 3.06-3.17, 2 Mg 3.12-3.14
Mg 0.2746 0.4557 0.0954  7 Cd 3.01-3.11, 3 Li 3.05-3.14, 2 Mg 3.05-3.07
Mg 0.7254 0.5443 0.9046  7 Cd 3.01-3.11, 3 Li 3.05-3.14, 2 Mg 3.05-3.07
Cd 0.1808 0.6424 0.7342  6 Cd 3.00-3.20, 3 Mg 3.01-3.11, 3 Li 3.05-3.06
Cd 0.3540 0.2614 0.4499  4 Li 2.98-3.00, 6 Cd 3.00-3.20, 2 Mg 3.08-3.11
Cd 0.4448 0.0923 0.8108  5 Li 2.95-3.09, 5 Cd 3.03-3.21, 2 Mg 3.03-3.11
Cd 0.5552 0.9077 0.1892  5 Li 2.95-3.09, 5 Cd 3.03-3.21, 2 Mg 3.03-3.11
Cd 0.6460 0.7386 0.5501  4 Li 2.98-3.00, 6 Cd 3.00-3.20, 2 Mg 3.08-3.11
Cd 0.8192 0.3576 0.2658  6 Cd 3.00-3.20, 3 Mg 3.01-3.11, 3 Li 3.05-3.06

Properties
- Uncorrected energy: -1.472 eV per atom
- ΔE to the lowest computed polymorph: 0.0000 eV per atom
- ΔE_f: -0.16 eV/atom
- Symmetry: No. 2

---

The following is a GGA-PBE calculation of a geometry-optimized Li2Mg2Cd structure, from Alexandria via LeMat-Bulk.

a b c (Å): 5.6238 5.6238 8.3848
angles (deg): 104.53 104.53 50.80
Last column: nearest neighbours and their distance in Å.
Element x y z (fractional)
Li 0.0394 0.0394 0.3499  1 Cd 2.80, 2 Li 2.85-2.93, 5 Mg 2.94-2.98
Li 0.1484 0.1484 0.0608  3 Cd 2.86-2.91, 3 Mg 2.88-2.98, 2 Li 2.90-2.93
Li 0.8516 0.8516 0.9392  3 Cd 2.86-2.91, 3 Mg 2.88-2.98, 2 Li 2.90-2.93
Li 0.9606 0.9606 0.6501  1 Cd 2.80, 2 Li 2.85-2.93, 5 Mg 2.94-2.98
Mg 0.3401 0.3401 0.4564  3 Li 2.94-2.98, 3 Cd 3.01-3.03, 4 Mg 3.04-3.23
Mg 0.4438 0.4438 0.1492  5 Li 2.88-2.98, 1 Cd 3.02, 2 Mg 3.03-3.04
Mg 0.5562 0.5562 0.8508  5 Li 2.88-2.98, 1 Cd 3.02, 2 Mg 3.03-3.04
Mg 0.6599 0.6599 0.5436  3 Li 2.94-2.98, 3 Cd 3.01-3.03, 4 Mg 3.04-3.23
Cd 0.2472 0.2472 0.7669  4 Li 2.80-2.91, 4 Mg 3.01-3.03
Cd 0.7528 0.7528 0.2331  4 Li 2.80-2.91, 4 Mg 3.01-3.03

Properties
- Uncorrected energy: -1.731 eV per atom
- ΔE to the lowest computed polymorph: 0.0006 eV per atom
- ΔE_f: -0.14 eV/atom
- Symmetry: No. 12

---

The following is a GGA-PBE calculation of a geometry-optimized Li5Mg5Cd structure, from Alexandria via LeMat-Bulk.

a b c (Å): 5.1988 5.1988 9.5899
angles (deg): 90.00 90.00 120.00
Last column: nearest neighbours and their distance in Å.
Element x y z (fractional)
Li 0.0000 0.0000 0.2260  1 Mg 2.63, 3 Li 2.67
Li 0.0000 0.0000 0.7740  1 Mg 2.63, 3 Li 2.67
Li 0.3452 0.1726 0.0000  6 Li 2.51-2.69
Li 0.8274 0.1726 0.0000  6 Li 2.51-2.69
Li 0.8274 0.6548 0.0000  6 Li 2.51-2.69
Mg 0.0000 0.0000 0.5000  2 Li 2.63
Mg 0.3333 0.6667 0.1768  9 Li 3.04-3.10, 1 Cd 3.10, 4 Mg 3.28-3.39
Mg 0.3333 0.6667 0.8232  9 Li 3.04-3.10, 1 Cd 3.10, 4 Mg 3.28-3.39
Mg 0.6667 0.3333 0.3157  6 Li 3.12-3.36, 6 Mg 3.28-3.48, 3 Cd 3.48
Mg 0.6667 0.3333 0.6843  6 Li 3.12-3.36, 6 Mg 3.28-3.48, 3 Cd 3.48
Cd 0.3333 0.6667 0.5000  5 Mg 3.00-3.10

Properties
- Uncorrected energy: -1.645 eV per atom
- ΔE_f: 0.03 eV/atom
- Symmetry: No. 187

---

The following is a GGA-PBE calculation of a geometry-optimized Li4Mg9Cd structure, from Alexandria via LeMat-Bulk.

a b c (Å): 8.7563 8.7563 9.1928
angles (deg): 90.00 90.00 120.00
Last column: nearest neighbours and their distance in Å.
Element x y z (fractional)
Li 0.0000 0.0000 0.0000  6 Li 2.85, 6 Mg 3.05
Li 0.0000 0.0000 0.5000  6 Li 2.85, 6 Mg 3.05
Li 0.1111 0.2222 0.2500  4 Li 2.85-2.92, 4 Mg 2.93-2.98
Li 0.1111 0.8889 0.2500  4 Li 2.85-2.92, 4 Mg 2.93-2.98
Li 0.2222 0.1111 0.7500  4 Li 2.85-2.92, 4 Mg 2.93-2.98
Li 0.7778 0.8889 0.2500  4 Li 2.85-2.92, 4 Mg 2.93-2.98
Li 0.8889 0.1111 0.7500  4 Li 2.85-2.92, 4 Mg 2.93-2.98
Li 0.8889 0.7778 0.7500  4 Li 2.85-2.92, 4 Mg 2.93-2.98
Mg 0.0802 0.5401 0.2500  2 Li 2.93, 1 Cd 3.14
Mg 0.2000 0.3999 0.5389  1 Cd 2.80, 2 Li 2.98-3.05, 2 Mg 3.12
Mg 0.2000 0.3999 0.9611  1 Cd 2.80, 2 Li 2.98-3.05, 2 Mg 3.12
Mg 0.2000 0.8000 0.5389  1 Cd 2.80, 2 Li 2.98-3.05, 2 Mg 3.12
Mg 0.2000 0.8000 0.9611  1 Cd 2.80, 2 Li 2.98-3.05, 2 Mg 3.12
Mg 0.3999 0.2000 0.0389  1 Cd 2.80, 2 Li 2.98-3.05, 2 Mg 3.12
Mg 0.3999 0.2000 0.4611  1 Cd 2.80, 2 Li 2.98-3.05, 2 Mg 3.12
Mg 0.4599 0.5401 0.2500  2 Li 2.93, 1 Cd 3.14
Mg 0.4599 0.9198 0.2500  2 Li 2.93, 1 Cd 3.14
Mg 0.5401 0.0802 0.7500  2 Li 2.93, 1 Cd 3.14
Mg 0.5401 0.4599 0.7500  2 Li 2.93, 1 Cd 3.14
Mg 0.6001 0.8000 0.5389  1 Cd 2.80, 2 Li 2.98-3.05, 2 Mg 3.12
Mg 0.6001 0.8000 0.9611  1 Cd 2.80, 2 Li 2.98-3.05, 2 Mg 3.12
Mg 0.8000 0.2000 0.0389  1 Cd 2.80, 2 Li 2.98-3.05, 2 Mg 3.12
Mg 0.8000 0.2000 0.4611  1 Cd 2.80, 2 Li 2.98-3.05, 2 Mg 3.12
Mg 0.8000 0.6001 0.0389  1 Cd 2.80, 2 Li 2.98-3.05, 2 Mg 3.12
Mg 0.8000 0.6001 0.4611  1 Cd 2.80, 2 Li 2.98-3.05, 2 Mg 3.12
Mg 0.9198 0.4599 0.7500  2 Li 2.93, 1 Cd 3.14
Cd 0.3333 0.6667 0.7500  9 Mg 2.80-3.14
Cd 0.6667 0.3333 0.2500  9 Mg 2.80-3.14

Properties
- Uncorrected energy: -1.665 eV per atom
- ΔE_f: -0.03 eV/atom
- Symmetry: No. 194